1.
Material: Ce2PrPa
Method: DFT, PBE
State: relaxed

a b c (Å): 4.851 4.851 4.731
angles (deg): 90.00 90.00 90.00
Fractional coordinates of all 4 atoms:
Ce 0.000 0.500 0.000
Ce 0.500 0.000 0.000
Pr 0.000 0.000 0.500
Pa 0.500 0.500 0.500

Results
SG: No. 123
total DFT energy (no corrections): -6.33 eV/atom
total moment: 0.00 μB per cell

2.
Material: TaIrSe
Method: DFT, PBE
State: relaxed

a b c (Å): 4.396 4.396 2.984
angles (deg): 90.00 90.00 120.00
Fractional coordinates of all 3 atoms:
Ta 0.000 0.000 0.000
Ir 0.333 0.667 0.499
Se 0.667 0.333 0.908

Results
SG: No. 156
total DFT energy (no corrections): -8.10 eV/atom
ΔE_f (raw): -0.11 eV per formula unit
total moment: 0.00 μB per cell

| no. | E above lowest polymorph (eV per atom) |
| --- | --- |
| 1 | 0.1126 |
| 2 | 0.2080 |